Entry 1:
3
Lattice="3.184 0.000 0.000 -1.592 2.757 0.000 0.000 0.000 6.614" Properties=species:S:1:pos:R:3 comment="PBE-GGA ScAlZn, relaxed" m_tot_mub_per_fu=0.00 ef_kj_per_mol_atoms=-5.2 n_ef_per_ev_fu=2.21 pbc="T T T"
Sc 0.000 0.000 0.000
Al 0.000 1.838 4.285
Zn 1.592 0.919 2.246

Entry 2:
8
Lattice="3.940 -3.076 0.000 3.940 3.076 0.000 -2.768 0.000 7.956" Properties=species:S:1:pos:R:3 comment="PBE-GGA Sc6AlZn, relaxed" m_tot_mub_per_fu=0.00 ef_kj_per_mol_atoms=7.3 n_ef_per_ev_fu=11.39 pbc="T T T"
Sc 1.986 1.536 1.588
Sc -0.032 0.000 3.566
Sc 3.126 1.536 6.368
Sc 1.986 -1.536 1.588
Sc 5.144 0.000 4.390
Sc 3.126 -1.536 6.368
Al 0.000 0.000 0.000
Zn 2.556 0.000 3.978

Entry 3:
3
Lattice="0.000 3.220 3.220 3.220 0.000 3.220 3.220 3.220 0.000" Properties=species:S:1:pos:R:3 comment="PBE-GGA ScAlZn, relaxed" m_tot_mub_per_fu=0.00 ef_kj_per_mol_atoms=22.9 n_ef_per_ev_fu=2.43 pbc="T T T"
Sc 0.000 0.000 0.000
Al 1.610 1.610 1.610
Zn 4.831 4.831 4.831

Entry 4:
10
Lattice="7.995 0.000 0.000 0.000 7.995 0.000 0.000 0.000 3.317" Properties=species:S:1:pos:R:3 comment="PBE-GGA Sc2Al2Zn, relaxed" m_tot_mub_per_fu=0.00 ef_kj_per_mol_atoms=-8.0 n_ef_per_ev_fu=3.50 e_above_lowest_polymorph_mev_per_atom=317 pbc="T T T"
Sc 1.444 2.553 0.000
Sc 2.553 6.551 0.000
Sc 5.441 1.444 0.000
Sc 6.551 5.441 0.000
Al 0.922 4.920 1.658
Al 3.075 0.922 1.658
Al 4.920 7.073 1.658
Al 7.073 3.075 1.658
Zn 0.000 0.000 0.000
Zn 3.997 3.997 0.000

Entry 5:
6
Lattice="4.381 0.000 0.000 -2.157 3.816 0.000 -0.270 -0.480 5.873" Properties=species:S:1:pos:R:3 comment="PBE-GGA ScAlZn4, relaxed" m_tot_mub_per_fu=0.00 ef_kj_per_mol_atoms=-23.2 n_ef_per_ev_fu=1.85 e_above_lowest_polymorph_mev_per_atom=0 pbc="T T T"
Sc 0.000 0.000 0.000
Al -0.135 -0.240 2.936
Zn -0.255 2.068 4.410
Zn 0.014 2.548 1.462
Zn 1.941 0.787 4.411
Zn 2.210 1.267 1.463

Entry 6:
4
Lattice="-2.044 2.044 4.709 2.044 -2.044 4.709 2.044 2.044 -4.709" Properties=species:S:1:pos:R:3 comment="PBE-GGA Sc2AlZn, relaxed" m_tot_mub_per_fu=0.00 ef_kj_per_mol_atoms=-22.5 n_ef_per_ev_fu=4.52 e_above_lowest_polymorph_mev_per_atom=192 pbc="T T T"
Sc 0.000 0.000 0.000
Sc 0.000 2.044 2.354
Al 0.000 0.000 4.709
Zn 2.044 0.000 2.354

Entry 7:
6
Lattice="-1.674 2.161 7.748 1.674 -2.161 7.748 1.674 2.161 -7.748" Properties=species:S:1:pos:R:3 comment="PBE-GGA Sc2AlZn3, relaxed" m_tot_mub_per_fu=0.00 ef_kj_per_mol_atoms=-24.5 n_ef_per_ev_fu=5.68 e_above_lowest_polymorph_mev_per_atom=143 pbc="T T T"
Sc 0.000 0.000 0.000
Sc 0.000 2.161 4.015
Al 0.000 0.000 9.167
Zn 1.674 0.000 2.603
Zn 1.674 0.000 5.018
Zn 0.000 0.000 6.721

Entry 8:
12
Lattice="5.901 0.000 0.000 0.000 4.283 0.000 0.000 0.000 8.574" Properties=species:S:1:pos:R:3 comment="PBE-GGA ScAlZn, relaxed" m_tot_mub_per_fu=0.00 ef_kj_per_mol_atoms=-28.5 n_ef_per_ev_fu=2.08 pbc="T T T"
Sc 0.826 1.071 0.770
Sc 2.124 3.212 5.058
Sc 3.777 1.071 3.517
Sc 5.075 3.212 7.804
Al 0.777 1.071 3.631
Al 2.174 3.212 7.918
Al 3.728 1.071 0.656
Al 5.124 3.212 4.943
Zn 0.525 1.071 6.346
Zn 2.426 3.212 2.059
Zn 3.476 1.071 6.515
Zn 5.377 3.212 2.228

Entry 9:
5
Lattice="-1.714 1.714 8.634 1.714 -1.714 8.634 1.714 1.714 -8.634" Properties=species:S:1:pos:R:3 comment="PBE-GGA Sc2AlZn2, relaxed" m_tot_mub_per_fu=0.00 ef_kj_per_mol_atoms=-7.2 n_ef_per_ev_fu=4.10 pbc="T T T"
Sc 0.000 0.000 1.762
Sc 0.000 0.000 15.505
Al 0.000 0.000 8.634
Zn 1.714 0.000 4.317
Zn 0.000 1.714 4.317

Entry 10:
11
Lattice="4.070 -6.584 0.000 4.070 6.584 0.000 -1.692 0.000 4.599" Properties=species:S:1:pos:R:3 comment="PBE-GGA Sc8AlZn2, relaxed" m_tot_mub_per_fu=1.21 ef_kj_per_mol_atoms=-8.7 n_ef_per_ev_fu=15.83 e_above_lowest_polymorph_mev_per_atom=58 pbc="T T T"
Sc 0.643 1.551 2.783
Sc 4.070 3.622 0.000
Sc 0.643 -1.551 2.783
Sc 2.867 0.000 0.902
Sc 3.581 0.000 3.696
Sc 5.806 1.551 1.815
Sc 4.070 -3.622 0.000
Sc 5.806 -1.551 1.815
Al 0.000 0.000 0.000
Zn 3.224 2.527 2.299
Zn 3.224 -2.527 2.299

Entry 11:
4
Lattice="1.627 0.939 8.984 -1.627 0.939 8.984 0.000 -1.878 8.984" Properties=species:S:1:pos:R:3 comment="PBE-GGA Sc2AlZn, relaxed" m_tot_mub_per_fu=0.00 ef_kj_per_mol_atoms=-18.5 n_ef_per_ev_fu=3.28 e_above_lowest_polymorph_mev_per_atom=233 pbc="T T T"
Sc 0.000 0.000 6.680
Sc 0.000 0.000 20.272
Al 0.000 0.000 0.000
Zn 0.000 0.000 13.476

Entry 12:
4
Lattice="3.138 0.000 0.000 0.000 3.138 0.000 0.000 0.000 7.927" Properties=species:S:1:pos:R:3 comment="PBE-GGA Sc2AlZn, relaxed" m_tot_mub_per_fu=0.00 ef_kj_per_mol_atoms=-21.0 n_ef_per_ev_fu=3.49 e_above_lowest_polymorph_mev_per_atom=207 pbc="T T T"
Sc 0.000 0.000 0.000
Sc 1.569 1.569 2.436
Al 1.569 1.569 5.914
Zn 0.000 0.000 4.350

Entry 13:
6
Lattice="4.982 -2.017 0.000 4.982 2.017 0.000 -0.030 0.000 5.461" Properties=species:S:1:pos:R:3 comment="PBE-GGA ScAlZn, relaxed" m_tot_mub_per_fu=0.00 ef_kj_per_mol_atoms=-32.7 n_ef_per_ev_fu=2.12 pbc="T T T"
Sc 0.000 0.000 0.000
Sc 5.945 0.000 2.843
Al 2.920 0.000 4.159
Al 8.933 0.000 2.715
Zn 2.962 0.000 1.419
Zn 6.940 0.000 0.127

Entry 14:
20
Lattice="8.374 0.000 0.000 0.000 4.836 0.000 -3.486 0.000 10.047" Properties=species:S:1:pos:R:3 comment="PBE-GGA Sc6Al3Zn, relaxed" m_tot_mub_per_fu=0.00 ef_kj_per_mol_atoms=-33.5 n_ef_per_ev_fu=10.65 pbc="T T T"
Sc -1.131 1.209 4.213
Sc 0.807 3.627 1.686
Sc 2.116 1.209 0.040
Sc 0.058 3.627 8.063
Sc 1.850 1.209 3.352
Sc 1.177 1.209 6.315
Sc 3.712 3.627 3.732
Sc 3.038 3.627 6.696
Sc 4.830 1.209 1.984
Sc 2.772 3.627 10.008
Sc 4.081 1.209 8.361
Sc 6.019 3.627 5.835
Al -2.801 3.627 8.785
Al -1.568 1.209 7.218
Al 0.633 3.627 4.736
Al 4.255 1.209 5.311
Al 6.457 3.627 2.829
Al 7.689 1.209 1.263
Zn 3.531 3.627 0.951
Zn 1.358 1.209 9.096

Entry 15:
6
Lattice="4.298 0.000 0.000 -2.147 5.235 0.000 -2.120 -2.188 4.831" Properties=species:S:1:pos:R:3 comment="PBE-GGA ScAlZn, relaxed" m_tot_mub_per_fu=0.00 ef_kj_per_mol_atoms=-31.9 n_ef_per_ev_fu=1.72 pbc="T T T"
Sc -1.068 1.475 1.147
Sc 1.100 1.573 3.683
Al -1.047 -0.431 3.743
Al 1.079 3.478 1.088
Zn 1.078 -0.278 1.399
Zn -1.046 3.325 3.432

Entry 16:
7
Lattice="-2.588 2.588 5.928 2.588 -2.588 5.928 2.588 2.588 -5.928" Properties=species:S:1:pos:R:3 comment="PBE-GGA Sc4AlZn2, relaxed" m_tot_mub_per_fu=1.24 ef_kj_per_mol_atoms=16.2 n_ef_per_ev_fu=8.17 e_above_lowest_polymorph_mev_per_atom=395 pbc="T T T"
Sc 2.588 0.000 0.000
Sc 2.588 0.000 2.964
Sc 0.000 2.588 0.000
Sc 0.000 2.588 2.964
Al 0.000 0.000 0.000
Zn 0.000 0.000 4.492
Zn 0.000 0.000 7.364

Entry 17:
3
Lattice="4.377 0.000 0.000 -2.189 3.791 0.000 0.000 0.000 3.246" Properties=species:S:1:pos:R:3 comment="PBE-GGA ScAlZn, relaxed" m_tot_mub_per_fu=0.00 ef_kj_per_mol_atoms=-42.8 n_ef_per_ev_fu=1.52 pbc="T T T"
Sc 0.000 0.000 0.000
Al 0.000 2.527 1.623
Zn 2.189 1.264 1.623

Entry 18:
12
Lattice="2.367 -7.116 0.000 2.367 7.116 0.000 0.000 0.000 6.736" Properties=species:S:1:pos:R:3 comment="PBE-GGA Sc6AlZn5, relaxed" m_tot_mub_per_fu=0.00 ef_kj_per_mol_atoms=-37.8 n_ef_per_ev_fu=9.59 pbc="T T T"
Sc 0.000 0.000 1.655
Sc 0.000 0.000 5.081
Sc 2.367 2.395 1.673
Sc 2.367 2.395 5.063
Sc 2.367 -2.395 1.673
Sc 2.367 -2.395 5.063
Al 2.367 0.000 3.368
Zn 2.367 4.778 3.368
Zn 2.367 4.760 0.000
Zn 2.367 0.000 0.000
Zn 2.367 -4.760 0.000
Zn 2.367 -4.778 3.368

Entry 19:
10
Lattice="2.338 -9.332 0.000 2.338 9.332 0.000 0.000 0.000 4.676" Properties=species:S:1:pos:R:3 comment="PBE-GGA Sc3AlZn, relaxed" m_tot_mub_per_fu=0.00 ef_kj_per_mol_atoms=-31.1 n_ef_per_ev_fu=4.32 e_above_lowest_polymorph_mev_per_atom=0 pbc="T T T"
Sc 2.338 8.163 3.507
Sc 2.338 4.671 3.507
Sc 2.338 1.191 3.507
Sc 2.338 -1.191 1.169
Sc 2.338 -4.671 1.169
Sc 2.338 -8.163 1.169
Al 2.338 6.396 1.169
Al 2.338 -6.396 3.507
Zn 2.338 2.945 1.169
Zn 2.338 -2.945 3.507

Entry 20:
6
Lattice="3.957 0.000 0.000 0.000 3.957 0.000 0.000 0.000 7.061" Properties=species:S:1:pos:R:3 comment="PBE-GGA ScAlZn, relaxed" m_tot_mub_per_fu=0.37 ef_kj_per_mol_atoms=-33.1 n_ef_per_ev_fu=1.93 pbc="T T T"
Sc 0.989 0.989 1.115
Sc 2.968 2.968 5.946
Al 0.989 2.968 3.530
Al 2.968 0.989 3.530
Zn 0.989 0.989 5.311
Zn 2.968 2.968 1.750